1.
Material: Pa2MnCo3
Method: DFT, PBE
State: relaxed

The structure in POSCAR format:
```
Pa2MnCo3
1.0
4.5105 -0.1375 -2.3774
-2.8666 4.2135 -0.2109
-0.2799 0.0583 4.9397
Pa Mn Co
2 1 3
Cartesian
2.2707 1.4830 -1.2479 Pa
-0.9068 2.6513 3.5994 Pa
0.0000 0.0000 0.0000 Mn
0.6820 2.0671 1.1757 Co
-0.1400 0.0292 2.4698 Co
2.1153 -0.0396 1.2812 Co
```

Properties
space group: No. 166
mass density: 12.9 Mg/m³
crystal system: trigonal
final energy: -8.561 eV per atom

=====

2.
Material: Pa2Mn2Co15
Method: DFT, PBE
State: relaxed

The structure in POSCAR format:
```
Pa2Mn2Co15
1.0
-0.7939 4.6176 4.1615
-4.5467 -2.7189 3.3475
3.6433 -2.3648 4.5171
Pa Mn Co
2 2 15
Cartesian
-0.5885 -0.1616 4.1696 Pa
-1.1088 -0.3045 7.8565 Pa
-0.1784 -0.0490 1.2641 Mn
-1.5189 -0.4171 10.7619 Mn
-0.3970 2.3088 2.0807 Co
1.8217 -1.1824 2.2586 Co
-2.2734 -1.3594 1.6737 Co
-2.1701 -2.6161 3.6869 Co
-1.8829 2.4887 3.9253 Co
2.3557 -0.3386 4.4139 Co
-3.4577 -0.5899 3.5837 Co
0.4937 2.5914 4.2647 Co
1.2667 -2.4676 4.1777 Co
-0.7065 -2.5913 5.7313 Co
-2.9063 0.8703 5.5549 Co
1.1540 1.0458 6.1348 Co
-0.9908 2.1252 6.2948 Co
1.2089 -1.3364 6.4711 Co
-2.8513 -1.5119 5.8913 Co
```

Properties
space group: No. 166
mass density: 10.0 Mg/m³
crystal system: trigonal
final energy: -7.698 eV per atom

=====

3.
Material: Pa2MnCo
Method: DFT, PBE
State: relaxed

The structure in POSCAR format:
```
Pa2MnCo
1.0
-1.8617 -1.4185 1.9489
-1.1443 -2.7337 -0.7029
6.1316 -5.3752 4.3246
Pa Co Mn
2 1 1
Cartesian
4.2870 -4.3432 3.3138 Pa
-1.1614 -5.1842 2.2569 Pa
1.5628 -4.7637 2.7854 Co
0.0000 0.0000 0.0000 Mn
```

Properties
space group: No. 166
ΔE to the lowest computed polymorph: 643 meV per atom
mass density: 13.1 Mg/m³
crystal system: trigonal
final energy: -8.436 eV per atom

=====

4.
Material: PaMnCo3
Method: DFT, PBE
State: relaxed

The structure in POSCAR format:
```
PaMnCo3
1.0
5.3842 0.0000 0.0000
2.6921 4.6629 0.0000
2.6921 1.5543 8.8702
Pa Mn Co
3 3 9
Cartesian
8.0763 4.6629 6.1780 Pa
2.6921 1.5543 2.6923 Pa
0.0000 0.0000 0.0000 Pa
5.3842 3.1086 1.7225 Mn
5.3842 3.1086 7.1477 Mn
5.3842 3.1086 4.4351 Mn
5.3842 1.3261 3.1786 Co
6.9279 3.9998 3.1786 Co
3.8405 3.9998 3.1786 Co
5.3842 4.8911 5.6917 Co
3.8405 2.2173 5.6917 Co
6.9279 2.2173 5.6917 Co
1.3461 2.3314 0.0000 Co
4.0382 2.3314 0.0000 Co
2.6921 0.0000 0.0000 Co
```

Properties
space group: No. 166
mass density: 10.4 Mg/m³
crystal system: trigonal
final energy: -7.937 eV per atom